## BaLaSn2Pd5 (PBE)

Data for a geometry-optimized BaLaSn2Pd5 structure.

abc: 4.833 4.833 8.815
angles: 90.00 90.00 90.00
Space group P4/mmm (No. 123)
Unique sites:
Ba 0.000 0.000 0.000 x1
La 0.000 0.000 0.500 x1
Sn 0.500 0.500 0.337 x2
Pd 0.000 0.500 0.227 x4
Pd 0.500 0.500 0.000 x1

Output
- formation energy (meV per atom) = -577
- electronic total energy (eV per atom) = -5.11

---

## BaSrLa2Pd (PBE)

Data for a geometry-optimized BaSrLa2Pd structure.

abc: 5.800 5.800 6.517
angles: 90.00 90.00 90.00
Space group P4/mmm (No. 123)
Unique sites:
Ba 0.000 0.000 0.000 x1
Sr 0.500 0.500 0.000 x1
La 0.000 0.500 0.500 x2
Pd 0.000 0.000 0.500 x1

Output
- formation energy (meV per atom) = -160
- electronic total energy (eV per atom) = -3.89

---

## BaSrLa2Pd (PBE)

Data for a geometry-optimized BaSrLa2Pd structure.

abc: 5.818 5.818 6.301
angles: 90.00 90.00 90.00
Space group P4/mmm (No. 123)
Unique sites:
Ba 0.000 0.000 0.000 x1
Sr 0.500 0.500 0.000 x1
La 0.000 0.500 0.500 x2
Pd 0.500 0.500 0.500 x1

Output
- formation energy (meV per atom) = -207
- electronic total energy (eV per atom) = -3.94

---

## BaLaTlPd2 (PBE)

Data for a geometry-optimized BaLaTlPd2 structure.

abc: 5.388 5.388 6.094
angles: 90.00 90.00 90.00
Space group P4/mmm (No. 123)
Unique sites:
Ba 0.000 0.000 0.000 x1
La 0.500 0.500 0.500 x1
Tl 0.500 0.500 0.000 x1
Pd 0.000 0.500 0.500 x2

Output
- formation energy (meV per atom) = -29
- electronic total energy (eV per atom) = -3.95

---

## BaLaPm2 (PBE)

Data for a geometry-optimized BaLaPm2 structure.

abc: 3.802 3.802 11.024
angles: 90.00 90.00 90.00
Space group P4/mmm (No. 123)
Unique sites:
Ba 0.000 0.000 0.000 x1
La 0.000 0.000 0.500 x1
Pm 0.500 0.500 0.278 x2

Output
- formation energy (meV per atom) = 118
- electronic total energy (eV per atom) = -3.97

---

## BaLaPm2 (PBE)

Data for a geometry-optimized BaLaPm2 structure.

abc: 3.8039 3.8039 37.5839
angles: 90.00 90.00 120.00
Space group R-3m (No. 166, hexagonal axes)
Unique sites:
Ba 0.0000 0.0000 0.0000 x3
La 0.0000 0.0000 0.5000 x3
Pm 0.0000 0.0000 0.2441 x6

Output
- formation energy (meV per atom) = 121
- electronic total energy (eV per atom) = -3.97

---

## BaLaPm2 (PBE)

Data for a geometry-optimized BaLaPm2 structure.

abc: 5.427 5.427 5.333
angles: 90.00 90.00 90.00
Space group P4/mmm (No. 123)
Unique sites:
Ba 0.000 0.000 0.000 x1
La 0.500 0.500 0.000 x1
Pm 0.000 0.500 0.500 x2

Output
- formation energy (meV per atom) = 192
- electronic total energy (eV per atom) = -3.90

---

## Ba2LaPmS4 (PBE)

Data for a geometry-optimized Ba2LaPmS4 structure.

abc: 7.365 4.260 7.593
angles: 90.00 108.91 90.00
Space group P2/m (No. 10)
Unique sites:
Ba 0.000 0.000 0.000 x1
Ba 0.500 0.500 0.000 x1
La 0.000 0.500 0.500 x1
Pm 0.500 0.000 0.500 x1
S 0.245 0.000 0.721 x2
S 0.264 0.500 0.281 x2

Output
- formation energy without anion corrections (meV/atom) = -2055
- electronic total energy (eV per atom) = -5.81